This record from Alexandria describes a geometry-optimized KBaH2 structure. The functional is PBE.

The structure belongs to space group Fm-3m (No. 225); the cell edges are 7.109, 7.109 and 7.109 Å and the angles 90.00°, 90.00° and 90.00°. Symmetry generates all atoms from K at (0.000, 0.000, 0.000), Ba at (0.000, 0.000, 0.500) and H at (0.250, 0.250, 0.250).

The total magnetization comes out at 0.00 Bohr magnetons per cell. For the total energy, the calculation gives -2.445 eV per atom.